(1)
KAlHg2: relaxed, PBEsol.

Final energy: -1.522 eV per atom
Total magnetic moment: 0.000 μB per atom
Space-group type: Imm2, No. 44
Crystal system: orthorhombic

abc: 3.5660 5.3265 6.2127
angles: 115.38 106.68 90.00
Last column: nearest neighbours and their distance in Å.
Positions (direct):
K 0.5069 0.5069 0.0137  8 Hg 3.21-3.53, 4 Al 3.45-3.57, 2 K 3.57
Hg 0.9841 0.9841 0.9683  2 Al 2.78
Hg 0.7248 0.2248 0.4496  2 Hg 3.12, 4 Al 3.27, 2 K 3.49
Al 0.2842 0.7842 0.5684  2 Hg 2.78


(2)
La2AlTe: relaxed, PBEsol.

Final energy: -5.244 eV per atom
Total magnetic moment: 0.000 μB per atom
Space-group type: Fm-3m, No. 225
Crystal system: cubic
ΔE_f (raw): -0.666 eV/atom

abc: 5.4399 5.4399 5.4399
angles: 60.00 60.00 60.00
Last column: nearest neighbours and their distance in Å.
Positions (direct):
Te 0.5000 0.5000 0.5000  8 La 3.33
Al 0.0000 0.0000 0.0000  8 La 3.33
La 0.2500 0.2500 0.2500  4 Te 3.33, 4 Al 3.33
La 0.7500 0.7500 0.7500  4 Te 3.33, 4 Al 3.33